## CoBi2PdO6 (PBE with a Hubbard U)

Data for crystalline CoBi2PdO6 at its relaxed geometry.

Cell and atoms, written as extended XYZ:
```
20
Lattice="5.415 0.000 0.000 0.000 5.796 0.000 -5.372 0.000 7.765" Properties=species:S:1:pos:R:3 pbc="T T T"
Co 0.000 0.000 0.000
Co -2.686 2.898 3.882
Bi -2.607 0.353 5.806
Bi 0.080 2.545 1.923
Bi -0.037 3.251 5.842
Bi 2.649 5.443 1.959
Pd 0.021 0.000 3.882
Pd 2.707 2.898 0.000
O -0.566 0.203 1.939
O -3.252 2.695 5.822
O 0.986 3.985 0.316
O -1.700 4.709 4.198
O 1.708 1.147 0.392
O -0.979 1.751 4.275
O 1.021 4.045 3.490
O -1.665 4.649 7.372
O 1.743 1.087 3.566
O -0.943 1.811 7.449
O 3.295 3.101 1.943
O 0.608 5.593 5.826
```

Theoretical density: 9.258 g cm⁻³
Spin magnetization: 3.00 μB per formula unit
Total energy: -5.74 eV per atom